Density functional theory data (PBE with a Hubbard U) for a relaxed structure of Tl2TeMo2P2O14.

The structure in POSCAR format:
```
Tl2TeMo2P2O14
1.0
12.6526 0.0000 0.0000
0.0000 9.2195 0.0000
0.0000 0.0000 11.4958
Tl Te Mo P O
8 4 8 8 56
Direct
0.1828 0.0261 0.2244
0.1828 0.9739 0.7244
0.3172 0.4739 0.7244
0.3172 0.5261 0.2244
0.6828 0.4739 0.7756
0.6828 0.5261 0.2756
0.8172 0.0261 0.2756
0.8172 0.9739 0.7756
0.0000 0.3709 0.7500
0.0000 0.6291 0.2500
0.5000 0.1291 0.2500
0.5000 0.8709 0.7500
0.1232 0.2491 0.4814
0.1232 0.7509 0.9814
0.3768 0.2509 0.9814
0.3768 0.7491 0.4814
0.6232 0.2509 0.5186
0.6232 0.7491 0.0186
0.8768 0.2491 0.0186
0.8768 0.7509 0.5186
0.1314 0.3648 0.0041
0.1314 0.6352 0.5041
0.3686 0.1352 0.5041
0.3686 0.8648 0.0041
0.6314 0.1352 0.9959
0.6314 0.8648 0.4959
0.8686 0.3648 0.4959
0.8686 0.6352 0.9959
0.0300 0.2938 0.0542
0.0300 0.7062 0.5542
0.0733 0.2345 0.6574
0.0733 0.7655 0.1574
0.1133 0.0634 0.4571
0.1133 0.9366 0.9571
0.1310 0.3584 0.8689
0.1310 0.6416 0.3689
0.1393 0.4791 0.5506
0.1393 0.5209 0.0506
0.1649 0.3127 0.3458
0.1649 0.6873 0.8458
0.2268 0.2726 0.0491
0.2268 0.7274 0.5491
0.2732 0.2274 0.5491
0.2732 0.7726 0.0491
0.3351 0.1873 0.8458
0.3351 0.8127 0.3458
0.3607 0.0209 0.0506
0.3607 0.9791 0.5506
0.3690 0.1416 0.3689
0.3690 0.8584 0.8689
0.3867 0.4366 0.9571
0.3867 0.5634 0.4571
0.4267 0.2655 0.1574
0.4267 0.7345 0.6574
0.4700 0.2062 0.5542
0.4700 0.7938 0.0542
0.5300 0.2062 0.9458
0.5300 0.7938 0.4458
0.5733 0.2655 0.3426
0.5733 0.7345 0.8426
0.6133 0.4366 0.5429
0.6133 0.5634 0.0429
0.6310 0.1416 0.1311
0.6310 0.8584 0.6311
0.6393 0.0209 0.4494
0.6393 0.9791 0.9494
0.6649 0.1873 0.6542
0.6649 0.8127 0.1542
0.7268 0.2274 0.9509
0.7268 0.7726 0.4509
0.7732 0.2726 0.4509
0.7732 0.7274 0.9509
0.8351 0.3127 0.1542
0.8351 0.6873 0.6542
0.8607 0.4791 0.9494
0.8607 0.5209 0.4494
0.8690 0.3584 0.6311
0.8690 0.6416 0.1311
0.8867 0.0634 0.0429
0.8867 0.9366 0.5429
0.9267 0.2345 0.8426
0.9267 0.7655 0.3426
0.9700 0.2938 0.4458
0.9700 0.7062 0.9458
```

Values from the calculation:
**Calculated density**: 5.02 g cm⁻³
**Size of the total moment**: 0.00 Bohr magnetons per cell
**Crystal system**: orthorhombic
**Total DFT energy (no corrections)**: -6.522 eV/atom
**Fermi-level density of states**: 0.00 states/eV/f.u.